The following is a DFT calculation (GGA-PBE) of a relaxed structure of Li5Ac3Sm12.

Structure (POSCAR):
```
Li5Ac3Sm12
1.0
-9.117 9.117 9.117
9.117 -9.117 9.117
9.117 9.117 -9.117
Li Ac Sm
20 12 48
Direct
0.000 0.000 0.000
0.000 0.000 0.500
0.000 0.500 0.000
0.000 0.500 0.500
0.125 0.750 0.875
0.125 0.875 0.250
0.250 0.125 0.875
0.250 0.625 0.375
0.375 0.250 0.625
0.375 0.625 0.750
0.500 0.000 0.000
0.500 0.000 0.500
0.500 0.500 0.000
0.500 0.500 0.500
0.625 0.375 0.250
0.625 0.750 0.375
0.750 0.375 0.625
0.750 0.875 0.125
0.875 0.125 0.750
0.875 0.250 0.125
0.125 0.250 0.375
0.125 0.375 0.750
0.250 0.375 0.125
0.250 0.875 0.625
0.375 0.125 0.250
0.375 0.750 0.125
0.625 0.250 0.875
0.625 0.875 0.750
0.750 0.125 0.375
0.750 0.625 0.875
0.875 0.625 0.250
0.875 0.750 0.625
0.037 0.205 0.111
0.037 0.332 0.926
0.074 0.611 0.406
0.074 0.963 0.668
0.094 0.705 0.668
0.094 0.889 0.426
0.111 0.037 0.205
0.111 0.574 0.906
0.168 0.205 0.594
0.168 0.463 0.574
0.205 0.111 0.037
0.205 0.594 0.168
0.295 0.332 0.906
0.295 0.463 0.389
0.332 0.906 0.295
0.332 0.926 0.037
0.389 0.295 0.463
0.389 0.594 0.926
0.406 0.074 0.611
0.406 0.832 0.795
0.426 0.094 0.889
0.426 0.832 0.537
0.463 0.389 0.295
0.463 0.574 0.168
0.537 0.426 0.832
0.537 0.611 0.705
0.574 0.168 0.463
0.574 0.906 0.111
0.594 0.168 0.205
0.594 0.926 0.389
0.611 0.406 0.074
0.611 0.705 0.537
0.668 0.074 0.963
0.668 0.094 0.705
0.705 0.537 0.611
0.705 0.668 0.094
0.795 0.406 0.832
0.795 0.889 0.963
0.832 0.537 0.426
0.832 0.795 0.406
0.889 0.426 0.094
0.889 0.963 0.795
0.906 0.111 0.574
0.906 0.295 0.332
0.926 0.037 0.332
0.926 0.389 0.594
0.963 0.668 0.074
0.963 0.795 0.889
```

Properties
The magnetic moment is 0.0 μB per formula unit. Its total energy is -252.43 eV per cell. The value obtained for the energy of formation from the pure elements is 17.8 kcal/mol of atoms. As for the calculated volume: 3030.98 Å³ per cell. The space-group type is Ia-3d, No. 230.